No. 1
{"formula": "Fe2AuSe", "functional": "PBE", "state": "relaxed", "cell": [[3.011, 0.000, 0.000], [0.000, 4.172, 0.000], [-1.488, 0.000, 5.016]], "species": ["Fe", "Fe", "Au", "Se"], "frac_coords": [[0.000, 0.000, 0.000], [0.137, 0.500, 0.279], [0.411, 0.500, 0.821], [0.696, 0.000, 0.396]], "final_energy_ev_per_atom": -5.7078}

No. 2
{"formula": "PmDyCdOs", "functional": "PBE", "state": "relaxed", "cell": [[7.185, 0.000, 0.000], [0.000, 7.185, 0.000], [0.000, 0.000, 7.185]], "species": ["Pm", "Pm", "Pm", "Pm", "Dy", "Dy", "Dy", "Dy", "Cd", "Cd", "Cd", "Cd", "Os", "Os", "Os", "Os"], "frac_coords": [[0.000, 0.000, 0.000], [0.000, 0.500, 0.500], [0.500, 0.000, 0.500], [0.500, 0.500, 0.000], [0.000, 0.000, 0.500], [0.000, 0.500, 0.000], [0.500, 0.000, 0.000], [0.500, 0.500, 0.500], [0.250, 0.250, 0.750], [0.250, 0.750, 0.250], [0.750, 0.250, 0.250], [0.750, 0.750, 0.750], [0.250, 0.250, 0.250], [0.250, 0.750, 0.750], [0.750, 0.250, 0.750], [0.750, 0.750, 0.250]], "relative_energy_mev_per_atom": 91.5, "delta_e_f_mev_per_atom": -144}

No. 3
{"formula": "Sm2ZnHg5", "functional": "PBE", "state": "relaxed", "cell": [[8.088, 0.000, 0.000], [0.000, 4.659, 0.000], [-2.674, 0.000, 11.254]], "species": ["Sm", "Sm", "Sm", "Sm", "Zn", "Zn", "Hg", "Hg", "Hg", "Hg", "Hg", "Hg", "Hg", "Hg", "Hg", "Hg"], "frac_coords": [[0.090, 0.000, 0.270], [0.410, 0.500, 0.730], [0.590, 0.500, 0.270], [0.910, 0.000, 0.730], [0.000, 0.000, 0.000], [0.500, 0.500, 0.000], [0.000, 0.500, 0.500], [0.134, 0.500, 0.901], [0.200, 0.000, 0.600], [0.300, 0.500, 0.400], [0.366, 0.000, 0.099], [0.500, 0.000, 0.500], [0.634, 0.000, 0.901], [0.700, 0.500, 0.600], [0.800, 0.000, 0.400], [0.866, 0.500, 0.099]], "delta_e_f_mev_per_atom": -194}

No. 4
{"formula": "TbPm6Hg2", "functional": "PBE", "state": "relaxed", "cell": [[6.443, -1.897, 0.000], [6.443, 1.897, 0.000], [-3.916, 0.000, 11.501]], "species": ["Tb", "Pm", "Pm", "Pm", "Pm", "Pm", "Pm", "Hg", "Hg"], "frac_coords": [[0.000, 0.000, 0.000], [0.021, 0.021, 0.337], [0.310, 0.310, 0.411], [0.313, 0.313, 0.124], [0.687, 0.687, 0.876], [0.690, 0.690, 0.589], [0.979, 0.979, 0.663], [0.361, 0.361, 0.803], [0.639, 0.639, 0.197]], "delta_e_f_mev_per_atom": -212}

No. 5
{"formula": "NaCuW", "functional": "PBE", "state": "relaxed", "cell": [[8.550, 0.000, 0.000], [0.000, 3.012, 0.000], [0.000, 0.000, 8.466]], "species": ["Na", "Na", "Na", "Na", "Cu", "Cu", "Cu", "Cu", "W", "W", "W", "W"], "frac_coords": [[0.057, 0.250, 0.154], [0.443, 0.750, 0.654], [0.557, 0.250, 0.346], [0.943, 0.750, 0.846], [0.236, 0.250, 0.842], [0.264, 0.750, 0.342], [0.736, 0.250, 0.658], [0.764, 0.750, 0.158], [0.104, 0.250, 0.545], [0.396, 0.750, 0.045], [0.604, 0.250, 0.955], [0.896, 0.750, 0.455]], "relative_energy_mev_per_atom": 193.7, "delta_e_f_mev_per_atom": 686}

No. 6
{"formula": "TaBRu3", "functional": "PBE", "state": "relaxed", "cell": [[4.774, 0.000, 0.000], [-0.056, 5.321, 0.000], [-1.664, -1.381, 5.270]], "species": ["Ta", "Ta", "B", "B", "Ru", "Ru", "Ru", "Ru", "Ru", "Ru"], "frac_coords": [[0.000, 0.000, 0.000], [0.392, 0.689, 0.719], [0.580, 0.970, 0.147], [0.759, 0.672, 0.115], [0.362, 0.661, 0.236], [0.442, 0.218, 0.435], [0.449, 0.240, 0.914], [0.907, 0.416, 0.347], [0.921, 0.431, 0.822], [0.974, 0.963, 0.490]], "delta_e_f_mev_per_atom": -205}

| no. | spin magnetization (μB/f.u.) |
| --- | --- |
| 1 | 5.3 |
| 2 | 0.0 |
| 3 | 0.0 |
| 4 | 0.0 |
| 5 | 0.0 |
| 6 | 0.0 |